5
Lattice="4.421 0.000 0.000 0.000 4.421 0.000 0.000 0.000 6.809" Properties=species:S:1:pos:R:3 comment="SCAN GaP2PtCl, PBEsol geometry" formation_energy_uncorrected_ev_per_atom=0.331 pbc="T T T"
Ga 0.000 0.000 0.000
P 0.000 2.210 3.405
P 2.210 0.000 3.405
Pt 2.210 2.210 3.405
Cl 2.210 2.210 0.000

5
Lattice="5.344 0.000 0.000 0.000 5.344 0.000 0.000 0.000 4.188" Properties=species:S:1:pos:R:3 comment="SCAN GaPSCl2, PBEsol geometry" formation_energy_uncorrected_ev_per_atom=0.372 pbc="T T T"
Ga 0.000 0.000 0.000
P 2.672 2.672 0.000
S 2.672 2.672 2.094
Cl 0.000 2.672 2.094
Cl 2.672 0.000 2.094

5
Lattice="5.021 0.000 0.000 0.000 5.021 0.000 0.000 0.000 5.282" Properties=species:S:1:pos:R:3 comment="SCAN GaSbP2Cl, PBEsol geometry" formation_energy_uncorrected_ev_per_atom=0.683 pbc="T T T"
Ga 0.000 0.000 0.000
Sb 2.510 2.510 2.641
P 0.000 2.510 2.641
P 2.510 0.000 2.641
Cl 2.510 2.510 0.000

5
Lattice="5.205 0.000 0.000 0.000 5.205 0.000 0.000 0.000 5.044" Properties=species:S:1:pos:R:3 comment="SCAN GaSnPCl2, PBEsol geometry" formation_energy_uncorrected_ev_per_atom=-0.007 pbc="T T T"
Ga 0.000 0.000 0.000
Sn 2.602 2.602 2.522
P 2.602 2.602 0.000
Cl 0.000 2.602 2.522
Cl 2.602 0.000 2.522

5
Lattice="4.887 0.000 0.000 0.000 4.887 0.000 0.000 0.000 4.793" Properties=species:S:1:pos:R:3 comment="SCAN TlGaPCl2, PBEsol geometry" formation_energy_uncorrected_ev_per_atom=-0.307 pbc="T T T"
Tl 0.000 0.000 0.000
Ga 2.444 2.444 2.397
P 2.444 2.444 0.000
Cl 0.000 2.444 2.397
Cl 2.444 0.000 2.397

5
Lattice="5.398 0.000 0.000 0.000 5.398 0.000 0.000 0.000 5.098" Properties=species:S:1:pos:R:3 comment="SCAN TlGaPCl2, PBEsol geometry" formation_energy_uncorrected_ev_per_atom=0.103 pbc="T T T"
Tl 0.000 0.000 0.000
Ga 2.699 2.699 2.549
P 0.000 0.000 2.549
Cl 0.000 2.699 0.000
Cl 2.699 0.000 0.000

5
Lattice="4.518 0.000 0.000 0.000 4.518 0.000 0.000 0.000 5.020" Properties=species:S:1:pos:R:3 comment="SCAN GaPWCl2, PBEsol geometry" formation_energy_uncorrected_ev_per_atom=0.989 pbc="T T T"
Ga 0.000 0.000 0.000
P 0.000 0.000 2.510
W 2.259 2.259 2.510
Cl 0.000 2.259 0.000
Cl 2.259 0.000 0.000

5
Lattice="3.884 2.242 3.404 -3.884 2.242 3.404 0.000 -4.484 3.404" Properties=species:S:1:pos:R:3 comment="SCAN GaPbCl3, PBEsol geometry" formation_energy_uncorrected_ev_per_atom=-0.945 pbc="T T T"
Ga 0.000 0.000 0.000
Pb 0.000 0.000 3.794
Cl 0.000 -2.428 5.210
Cl -2.103 1.214 5.210
Cl 2.103 1.214 5.210

4
Lattice="0.000 3.323 3.323 3.323 0.000 3.323 3.323 3.323 0.000" Properties=species:S:1:pos:R:3 comment="SCAN Ga2PdCl, PBEsol geometry" formation_energy_uncorrected_ev_per_atom=0.078 pbc="T T T"
Ga 1.662 1.662 1.662
Ga 4.985 4.985 4.985
Pd 0.000 0.000 0.000
Cl 3.323 3.323 3.323

5
Lattice="4.778 0.000 0.000 0.000 4.778 0.000 0.000 0.000 4.599" Properties=species:S:1:pos:R:3 comment="SCAN ScGa2PdCl, PBEsol geometry" formation_energy_uncorrected_ev_per_atom=0.268 pbc="T T T"
Sc 0.000 0.000 0.000
Ga 0.000 2.389 2.299
Ga 2.389 0.000 2.299
Pd 2.389 2.389 0.000
Cl 0.000 0.000 2.299

5
Lattice="4.851 0.000 0.000 0.000 4.851 0.000 0.000 0.000 4.564" Properties=species:S:1:pos:R:3 comment="SCAN Ga2SiPdCl, PBEsol geometry" formation_energy_uncorrected_ev_per_atom=-0.177 pbc="T T T"
Ga 0.000 2.425 0.000
Ga 2.425 0.000 0.000
Si 0.000 0.000 2.282
Pd 0.000 0.000 0.000
Cl 2.425 2.425 2.282

5
Lattice="4.785 0.000 0.000 0.000 4.785 0.000 0.000 0.000 4.785" Properties=species:S:1:pos:R:3 comment="SCAN Ga3PtCl, PBEsol geometry" formation_energy_uncorrected_ev_per_atom=-0.762 pbc="T T T"
Ga 0.000 0.000 2.392
Ga 0.000 2.392 0.000
Ga 2.392 0.000 0.000
Pt 0.000 0.000 0.000
Cl 2.392 2.392 2.392